## LiPmPa2O8 (GGA-PBE)

Data for a geometry-optimized LiPmPa2O8 structure.

Cell lengths 5.6594, 5.6594, 5.6938 Å; angles 90.00, 90.00, 120.00 degrees
Last column: nearest neighbours and their distance in Å.
Positions (direct):
O (0.7239, 0.0587, 0.8225)  1 Li 2.02, 1 Pa 2.26
O (0.2761, 0.9413, 0.1775)  1 Li 2.02, 1 Pa 2.26
O (0.3333, 0.6667, 0.5571)  1 Pa 1.97
Pa (0.3333, 0.6667, 0.9025)  1 O 1.97
Li (0.0000, 0.0000, 0.0000)  6 O 2.02
O (0.3348, 0.2761, 0.8225)  1 Li 2.02, 1 Pa 2.26
O (0.0587, 0.3348, 0.1775)  1 Li 2.02, 1 Pa 2.26
O (0.6667, 0.3333, 0.4429)  1 Pa 1.97
Pm (0.0000, 0.0000, 0.5000)  6 O 2.54
O (0.6652, 0.7239, 0.1775)  1 Li 2.02, 1 Pa 2.26
Pa (0.6667, 0.3333, 0.0975)  1 O 1.97
O (0.9413, 0.6652, 0.8225)  1 Li 2.02, 1 Pa 2.26

As for the total DFT energy (no corrections): -96.77 eV per formula unit. For the density of states at the Fermi level, the calculation gives 5.24 states/eV/cell. As for the formation energy (no corrections): -2.621 eV per atom. The space group is P-3, No. 147. The calculation puts the calculated volume at 158 Å³/cell.